First-principles (PBE-GGA) data for SmTm7Al4 after structural relaxation, as listed in Alexandria.

spin magnetization	0.0002	μB/atom
formation enthalpy at 0 K	-0.044	eV per atom
N(E_F)	1.01	states/eV/atom
uncorrected energy	-4.294	eV per atom
symmetry	C2/m
calculated volume	317	Å³/f.u.

abc: 7.390 7.390 10.326
angles: 121.91 121.91 43.17
Fractional positions:
Sm  0.000  0.000  0.000
Tm  0.066  0.066  0.391
Tm  0.215  0.215  0.876
Tm  0.299  0.299  0.357
Tm  0.500  0.500  0.000
Tm  0.701  0.701  0.643
Tm  0.785  0.785  0.124
Tm  0.934  0.934  0.609
Al  0.323  0.323  0.668
Al  0.445  0.445  0.235
Al  0.555  0.555  0.765
Al  0.677  0.677  0.332